Record 1
CuAgAs2 | PBE | optimized geometry

The structure in POSCAR format:
```
CuAgAs2
1.0
8.137 0.030 0.018
7.503 3.148 0.018
7.503 1.524 2.754
Ag As Cu
1 2 1
Cartesian
17.357 3.527 2.092
22.941 4.661 2.765
11.773 2.392 1.419
5.786 1.176 0.697
```

Results
Energy of formation ... 0.18 eV/atom
SG ... R-3m, No. 166
Energy above the most stable polymorph in this dataset ... 0.081 eV/f.u.
Spin magnetization ... 0.00 μB/atom


Record 2
PmNdLuMg | PBE | optimized geometry

The structure in POSCAR format:
```
PmNdLuMg
1.0
-3.676 2.715 3.167
-4.635 -2.561 1.696
-0.615 -1.380 5.351
Mg Lu Nd Pm
1 1 1 1
Cartesian
-4.463 -0.613 5.107
0.000 0.000 0.000
-6.694 -0.919 7.660
-2.231 -0.306 2.553
```

Results
Energy of formation ... 0.00 eV/atom
SG ... F-43m, No. 216
Spin magnetization ... 0.00 μB/atom


Record 3
Sb2RhPb | PBE | optimized geometry

The structure in POSCAR format:
```
Sb2RhPb
1.0
-4.787 -0.334 -1.744
0.345 -3.899 3.278
-1.168 2.233 2.779
Sb Rh Pb
2 1 1
Cartesian
-2.393 -0.167 -0.872
0.172 -1.950 1.639
-2.805 -1.000 2.157
-0.584 1.116 1.390
```

Results
SG ... Cmmm, No. 65
ΔE_f (raw) ... 0.25 eV per atom
Spin magnetization ... 0.00 μB/atom


Record 4
Rb3AgCl6 | PBE | optimized geometry

The structure in POSCAR format:
```
Rb3AgCl6
1.0
-2.393 7.533 -0.100
-6.484 -2.007 4.050
-1.729 3.688 6.772
Rb Ag Cl
3 1 6
Cartesian
-4.439 2.763 1.975
-4.280 6.992 4.324
-6.326 2.222 6.399
0.000 0.000 0.000
-2.947 3.272 4.616
-7.659 5.942 6.107
-1.997 1.243 0.888
-6.881 4.283 3.062
-3.313 5.387 0.834
-5.564 0.139 3.117
```

Results
SG ... Fm-3m, No. 225
Energy above the most stable polymorph in this dataset ... 0.344 eV/f.u.
ΔE_f (raw) ... -1.19 eV per atom
Spin magnetization ... 0.20 μB/atom


Record 5
KRb2TeF6 | PBE | optimized geometry

The structure in POSCAR format:
```
KRb2TeF6
1.0
-0.449 -6.540 0.448
5.359 -3.722 -0.779
3.881 -2.740 12.068
K Rb Te F
2 4 2 12
Cartesian
3.754 -6.695 2.389
5.037 -6.306 9.348
5.902 -9.961 5.053
2.889 -3.041 6.684
6.679 -9.725 9.266
2.112 -3.276 2.470
0.000 0.000 0.000
4.395 -6.501 5.868
3.110 -8.065 4.501
5.852 -6.734 3.922
3.322 -4.977 4.290
5.680 -4.937 7.235
2.939 -6.268 7.815
5.469 -8.025 7.447
4.129 -7.969 11.046
7.368 -6.397 10.361
4.379 -4.321 10.796
4.662 -5.033 0.691
1.423 -6.605 1.375
4.412 -8.681 0.941
```

Results
SG ... R-3m, No. 166
Energy above the most stable polymorph in this dataset ... 0.000 eV/f.u.
ΔE_f (raw) ... -2.32 eV per atom
Spin magnetization ... 0.10 μB/atom


Record 6
Y2ReHBr | PBE | optimized geometry

The structure in POSCAR format:
```
Y2ReHBr
1.0
-0.086 3.618 -4.067
-2.711 -1.656 -1.416
-3.409 3.135 2.861
Y Re Br H
2 1 1 1
Cartesian
-1.705 1.567 1.430
-0.043 1.809 -2.033
-3.103 2.548 -1.311
0.000 0.000 0.000
-1.355 -0.828 -0.708
```

Results
SG ... P4/mmm, No. 123
Calculated total energy ... -5.55 eV/atom
Spin magnetization ... 0.00 μB/atom


Record 7
Cs2SmTlO4 | PBE | optimized geometry

The structure in POSCAR format:
```
Cs2SmTlO4
1.0
6.535 0.001 -0.004
-0.001 6.535 -0.003
-3.265 -3.266 4.587
Cs Sm Tl O
2 1 1 4
Cartesian
0.002 3.270 4.453
0.001 0.001 2.163
3.270 0.003 4.453
3.268 3.269 2.159
2.346 1.628 3.271
4.909 2.345 1.047
1.626 4.192 1.048
4.193 -1.624 3.272
```

Results
SG ... I-4, No. 82
ΔE_f (raw) ... -1.74 eV per atom
Spin magnetization ... 0.00 μB/atom


Record 8
NaAgGe2Br6 | PBE | optimized geometry

The structure in POSCAR format:
```
NaAgGe2Br6
1.0
7.611 -0.221 -0.229
1.920 9.365 0.205
1.920 -0.142 9.366
Na Ag Ge Br
2 2 4 12
Cartesian
3.823 8.463 0.965
7.629 0.540 8.378
3.823 2.550 6.662
7.629 6.453 2.681
6.983 7.590 6.318
8.274 2.860 1.410
4.469 1.413 3.025
3.177 6.143 7.933
4.216 8.516 7.716
3.430 1.718 0.662
7.235 0.487 1.627
8.022 7.285 8.681
5.632 8.209 3.336
2.014 6.084 1.130
5.819 0.793 6.007
9.438 2.919 8.213
5.222 4.934 6.934
2.424 2.367 4.270
6.230 4.069 2.409
9.027 6.636 5.073
```

Results
SG ... C2/c, No. 15
ΔE_f (raw) ... -0.71 eV per atom
Spin magnetization ... 0.00 μB/atom